DFT (GGA-PBE) results for an optimized crystal structure of KAgS2.

Geometry as CIF:
```
data_KAgS2
_chemical_formula_sum 'K4 Ag4 S8'
_space_group_name_H-M_alt 'I -4 2 d'
_space_group_IT_number 122
_space_group_name_Hall 'I -4 2bw'
_cell_length_a 5.033
_cell_length_b 5.033
_cell_length_c 17.305
_cell_angle_alpha 90.00
_cell_angle_beta 90.00
_cell_angle_gamma 90.00
loop_
_atom_site_label
_atom_site_type_symbol
_atom_site_fract_x
_atom_site_fract_y
_atom_site_fract_z
_atom_site_occupancy
K1 K 0.000 0.000 0.000 1
Ag1 Ag 0.000 0.000 0.500 1
S1 S 0.060 0.250 0.625 1
```

Calculated values
Total moment ... 0.00 μB/f.u.
Uncorrected formation energy ... -0.310 eV per atom
Calculated total energy ... -3.361 eV/atom
Crystal system ... tetragonal
Relative energy among the computed polymorphs ... 169.2 meV/atom

---

DFT (GGA-PBE) results for an optimized crystal structure of Ta2AlAg.

Geometry as CIF:
```
data_Ta2AlAg
_chemical_formula_sum 'Ta2 Al1 Ag1'
_space_group_name_H-M_alt 'P 4/m m m'
_space_group_IT_number 123
_space_group_name_Hall '-P 4 2'
_cell_length_a 2.862
_cell_length_b 2.862
_cell_length_c 8.389
_cell_angle_alpha 90.00
_cell_angle_beta 90.00
_cell_angle_gamma 90.00
loop_
_atom_site_label
_atom_site_type_symbol
_atom_site_fract_x
_atom_site_fract_y
_atom_site_fract_z
_atom_site_occupancy
Ta1 Ta 0.000 0.000 0.233 1
Al1 Al 0.500 0.500 0.000 1
Ag1 Ag 0.500 0.500 0.500 1
```

Calculated values
Total moment ... 0.00 μB/f.u.
Calculated total energy ... -7.544 eV/atom
Crystal system ... tetragonal
Energy relative to the elements ... 30 meV/atom
Relative energy among the computed polymorphs ... 38.1 meV/atom

---

DFT (GGA-PBE) results for an optimized crystal structure of La2Pr6Tm3Mg.

Geometry as CIF:
```
data_La2Pr6Tm3Mg
_chemical_formula_sum 'La4 Pr12 Tm6 Mg2'
_space_group_name_H-M_alt 'C 1 2/m 1'
_space_group_IT_number 12
_cell_length_a 6.281
_cell_length_b 10.893
_cell_length_c 11.971
_cell_angle_alpha 90.00
_cell_angle_beta 100.19
_cell_angle_gamma 90.00
loop_
_space_group_symop_operation_xyz
'x,y,z'
'-x,-y,-z'
'-x,y,-z'
'x,-y,z'
'x+1/2,y+1/2,z'
'-x+1/2,-y+1/2,-z'
'-x+1/2,y+1/2,-z'
'x+1/2,-y+1/2,z'
loop_
_atom_site_label
_atom_site_type_symbol
_atom_site_fract_x
_atom_site_fract_y
_atom_site_fract_z
_atom_site_occupancy
La1 La 0.000 0.167 0.000 1
Pr1 Pr 0.246 0.500 0.744 1
Pr2 Pr 0.249 0.335 0.255 1
Tm1 Tm 0.000 0.000 0.500 1
Tm2 Tm 0.000 0.334 0.500 1
Mg1 Mg 0.000 0.500 0.000 1
```

Calculated values
Total moment ... 0.00 μB/f.u.
Calculated total energy ... -4.452 eV/atom
Crystal system ... monoclinic
Energy relative to the elements ... 9 meV/atom

---

DFT (GGA-PBE) results for an optimized crystal structure of LiSm3Al2.

Geometry as CIF:
```
data_LiSm3Al2
_chemical_formula_sum 'Li2 Sm6 Al4'
_space_group_name_H-M_alt 'P -3 m 1'
_space_group_IT_number 164
_space_group_name_Hall '-P 3 2"'
_cell_length_a 5.2303
_cell_length_b 5.2303
_cell_length_c 12.8708
_cell_angle_alpha 90.00
_cell_angle_beta 90.00
_cell_angle_gamma 120.00
loop_
_atom_site_label
_atom_site_type_symbol
_atom_site_fract_x
_atom_site_fract_y
_atom_site_fract_z
_atom_site_occupancy
Li1 Li 0.3333 0.6667 0.1695 1
Sm1 Sm 0.0000 0.0000 0.2542 1
Sm2 Sm 0.3333 0.6667 0.4185 1
Sm3 Sm 0.3333 0.6667 0.9154 1
Al1 Al 0.0000 0.0000 0.0000 1
Al2 Al 0.0000 0.0000 0.5000 1
Al3 Al 0.3333 0.6667 0.6718 1
```

Calculated values
Total moment ... 0.00 μB/f.u.
Calculated total energy ... -4.186 eV/atom
Crystal system ... trigonal
Energy relative to the elements ... -260 meV/atom
Relative energy among the computed polymorphs ... 0.0 meV/atom

---

DFT (GGA-PBE) results for an optimized crystal structure of EuTlAs2.

Geometry as CIF:
```
data_EuTlAs2
_chemical_formula_sum 'Eu3 Tl3 As6'
_space_group_name_H-M_alt 'R -3 m'
_space_group_IT_number 166
_space_group_name_Hall '-R 3 2"'
_cell_length_a 4.3926
_cell_length_b 4.3926
_cell_length_c 19.3489
_cell_angle_alpha 90.00
_cell_angle_beta 90.00
_cell_angle_gamma 120.00
loop_
_atom_site_label
_atom_site_type_symbol
_atom_site_fract_x
_atom_site_fract_y
_atom_site_fract_z
_atom_site_occupancy
Eu1 Eu 0.0000 0.0000 0.0000 1
Tl1 Tl 0.0000 0.0000 0.5000 1
As1 As 0.0000 0.0000 0.2500 1
```

Calculated values
Total moment ... 6.53 μB/f.u.
Calculated total energy ... -5.800 eV/atom
Crystal system ... trigonal
Energy relative to the elements ... -315 meV/atom
Relative energy among the computed polymorphs ... 131.4 meV/atom

---

DFT (GGA-PBE) results for an optimized crystal structure of LiZnCdPt.

Geometry as CIF:
```
data_LiZnCdPt
_chemical_formula_sum 'Li1 Zn1 Cd1 Pt1'
_space_group_name_H-M_alt 'P m m 2'
_space_group_IT_number 25
_cell_length_a 2.871
_cell_length_b 3.896
_cell_length_c 5.757
_cell_angle_alpha 90.00
_cell_angle_beta 90.00
_cell_angle_gamma 90.00
loop_
_space_group_symop_operation_xyz
'x,y,z'
'-x,-y,z'
'-x,y,z'
'x,-y,z'
loop_
_atom_site_label
_atom_site_type_symbol
_atom_site_fract_x
_atom_site_fract_y
_atom_site_fract_z
_atom_site_occupancy
Li1 Li 0.000 0.000 0.000 1
Zn1 Zn 0.500 0.500 0.249 1
Cd1 Cd 0.500 0.500 0.742 1
Pt1 Pt 0.000 0.000 0.456 1
```

Calculated values
Total moment ... 0.00 μB/f.u.
Calculated total energy ... -2.924 eV/atom
Crystal system ... orthorhombic
Energy relative to the elements ... -388 meV/atom